Ba6Os3O14, relaxed, DFT PBE; magnetic moment = 6.2 Bohr magnetons per cell; DOS at the Fermi energy = 0.48 states/eV/atom; E_form (uncorrected) = -1.895 eV per atom; VASP energy = -158.24 eV for the cell shown
1.0
5.6761 0.0000 0.0000
0.0000 8.2566 -4.7670
0.0000 0.0000 9.5339
Ba O Os
6 14 3
direct
0.2625 0.9227 0.6991
0.7918 0.5596 0.5582
0.7918 0.4418 0.0013
0.7918 0.9987 0.4404
0.2625 0.3009 0.2237
0.2625 0.7763 0.0773
0.9619 0.1455 0.9516
0.9619 0.8061 0.8545
0.6406 0.7330 0.2009
0.9619 0.0484 0.1939
0.6406 0.7991 0.5321
0.5008 0.2654 0.4677
0.2394 0.6043 0.4703
0.4934 0.0000 0.0000
0.0453 0.3333 0.6667
0.2394 0.8660 0.3957
0.5008 0.2023 0.7346
0.2394 0.5297 0.1340
0.6406 0.4679 0.2670
0.5008 0.5323 0.7977
0.3641 0.3333 0.6667
0.4345 0.6667 0.3333
0.8147 0.0000 0.0000